Entry 1:
The following is a DFT calculation (PBE-GGA) of a relaxed structure of Si2RhNO.

Summary:
Offset from the most stable computed form   560.6 meV/atom
Total energy   -6.965 eV per atom
Formation energy (no corrections)   -669 meV per atom
Symmetry   P1
Total magnetic moment   0.00 μB per atom
Crystal system   triclinic
DOS(E_F)   0.01 states/eV per atom

Unit cell a=3.760 b=4.565 c=4.581 alpha=77.02 beta=68.44 gamma=73.10
Atoms (fractional coordinates):
Si1 0.381 0.337 0.382
Si2 0.121 0.005 0.082
Rh1 0.879 0.059 0.657
N1 0.272 0.728 0.358
O1 0.378 0.293 0.010

---

Entry 2:
The following is a DFT calculation (PBE-GGA) of a relaxed structure of TaInW2.

Summary:
DFT formation energy   0.29 eV per atom
Total energy   -9.830 eV per atom
Symmetry   P4mm
Total magnetic moment   0.00 μB per atom
Crystal system   tetragonal
DOS(E_F)   0.73 states/eV per atom

Unit cell a=3.412 b=3.413 c=6.156 alpha=90.00 beta=90.00 gamma=90.00
Atoms (fractional coordinates):
In1 0.000 0.000 0.496
Ta1 0.500 0.500 0.776
W1 0.000 0.000 0.004
W2 0.500 0.500 0.225

---

Entry 3:
The following is a DFT calculation (PBE-GGA) of a relaxed structure of RbLaEr4Se8.

Summary:
Total energy   -5.446 eV per atom
Formation energy (no corrections)   -1730 meV per atom
Symmetry   R3m
Total magnetic moment   0.00 μB per atom
Crystal system   trigonal
DOS(E_F)   0.00 states/eV per atom

Unit cell a=8.538 b=8.538 c=8.788 alpha=60.94 beta=60.94 gamma=60.00
Atoms (fractional coordinates):
Rb1 0.368 0.368 0.897
La1 0.005 0.005 0.984
Er1 0.626 0.626 0.122
Er2 0.004 0.487 0.505
Er3 0.487 0.004 0.505
Er4 0.004 0.004 0.505
Se1 0.242 0.800 0.716
Se2 0.800 0.242 0.716
Se3 0.242 0.242 0.716
Se4 0.230 0.230 0.311
Se5 0.751 0.233 0.265
Se6 0.233 0.751 0.265
Se7 0.751 0.751 0.265
Se8 0.757 0.757 0.729

---

Entry 4:
The following is a DFT calculation (PBE-GGA) of a relaxed structure of Sr2VCu.

Summary:
DFT formation energy   0.57 eV per atom
Total energy   -3.575 eV per atom
Symmetry   Fm-3m
Total magnetic moment   1.23 μB per atom
Crystal system   cubic
DOS(E_F)   0.74 states/eV per atom

Unit cell a=5.505 b=5.505 c=5.505 alpha=60.00 beta=60.00 gamma=60.00
Last column: magnetic moment on the atom in μB.
Atoms (fractional coordinates):
Sr1 0.250 0.250 0.250  0.12
Sr2 0.750 0.750 0.750  0.12
Cu1 0.500 0.500 0.500  0.02
V1 0.000 0.000 0.000  3.13

---

Entry 5:
The following is a DFT calculation (PBE-GGA) of a relaxed structure of NaHg2HPt.

Summary:
Offset from the most stable computed form   181.4 meV/atom
Total energy   -2.202 eV per atom
Symmetry   P4/mmm
Total magnetic moment   0.00 μB per atom
Crystal system   tetragonal
DOS(E_F)   0.43 states/eV per atom

Unit cell a=5.125 b=5.125 c=3.503 alpha=90.00 beta=90.00 gamma=90.00
Atoms (fractional coordinates):
Na1 0.500 0.500 0.500
Hg1 0.000 0.500 0.000
Hg2 0.500 0.000 0.000
Pt1 0.000 0.000 0.500
H1 0.000 0.000 0.000

---

Entry 6:
The following is a DFT calculation (PBE-GGA) of a relaxed structure of Li5MgAu2.

Summary:
DFT formation energy   -0.25 eV per atom
Total energy   -2.461 eV per atom
Symmetry   P6_3/mmc
Total magnetic moment   0.00 μB per atom
Crystal system   hexagonal
DOS(E_F)   0.51 states/eV per atom

Unit cell a=4.614 b=4.614 c=17.190 alpha=90.00 beta=90.00 gamma=120.00
Atoms (fractional coordinates):
Li1 0.000 0.000 0.359
Li2 0.000 0.000 0.141
Li3 0.667 0.333 0.250
Li4 0.000 0.000 0.859
Li5 0.667 0.333 0.055
Li6 0.333 0.667 0.750
Li7 0.333 0.667 0.945
Li8 0.333 0.667 0.555
Li9 0.667 0.333 0.445
Li10 0.000 0.000 0.641
Mg1 0.333 0.667 0.250
Mg2 0.667 0.333 0.750
Au1 0.667 0.333 0.600
Au2 0.333 0.667 0.100
Au3 0.333 0.667 0.400
Au4 0.667 0.333 0.900

---

Entry 7:
The following is a DFT calculation (PBE-GGA) of a relaxed structure of PrNd3Th2.

Summary:
DFT formation energy   0.07 eV per atom
Total energy   -5.584 eV per atom
Symmetry   Cmmm
Total magnetic moment   0.00 μB per atom
Crystal system   orthorhombic
DOS(E_F)   1.50 states/eV per atom

Unit cell a=5.129 b=5.191 c=8.140 alpha=90.00 beta=108.36 gamma=90.00
Atoms (fractional coordinates):
Pr1 0.000 0.000 0.000
Nd1 0.330 0.000 0.660
Nd2 0.670 0.000 0.340
Nd3 0.500 0.500 0.000
Th1 0.170 0.500 0.340
Th2 0.830 0.500 0.660

---

Entry 8:
The following is a DFT calculation (PBE-GGA) of a relaxed structure of LiTlS2.

Summary:
Total energy   -3.515 eV per atom
Formation energy (no corrections)   -381 meV per atom
Symmetry   R-3m
Total magnetic moment   0.00 μB per atom
Crystal system   trigonal
DOS(E_F)   0.00 states/eV per atom

Unit cell a=7.820 b=7.820 c=7.820 alpha=29.84 beta=29.84 gamma=29.84
Atoms (fractional coordinates):
Tl1 0.500 0.500 0.500
S1 0.898 0.898 0.898
S2 0.102 0.102 0.102
Li1 0.000 0.000 0.000

---

Entry 9:
The following is a DFT calculation (PBE-GGA) of a relaxed structure of CaFe2Cu.

Summary:
DFT formation energy   0.39 eV per atom
Total energy   -5.369 eV per atom
Symmetry   Cm
Total magnetic moment   1.24 μB per atom
Crystal system   monoclinic
DOS(E_F)   0.65 states/eV per atom

Unit cell a=4.475 b=4.475 c=5.487 alpha=77.13 beta=77.13 gamma=40.57
Last column: magnetic moment on the atom in μB.
Atoms (fractional coordinates):
Ca1 0.502 0.502 0.496  -0.07
Fe1 0.004 0.004 0.989  2.51
Fe2 0.720 0.720 0.849  2.54
Cu1 0.274 0.274 0.166  0.09

---

Entry 10:
The following is a DFT calculation (PBE-GGA) of a relaxed structure of YHo3Zn2.

Summary:
Offset from the most stable computed form   0.0 meV/atom
DFT formation energy   -0.24 eV per atom
Total energy   -4.029 eV per atom
Symmetry   Pmc2_1
Total magnetic moment   0.00 μB per atom
Crystal system   orthorhombic
DOS(E_F)   0.57 states/eV per atom

Unit cell a=4.988 b=6.804 c=9.019 alpha=90.00 beta=90.00 gamma=90.00
Atoms (fractional coordinates):
Y1 0.500 0.516 0.557
Y2 0.500 0.016 0.443
Ho1 0.000 0.483 0.942
Ho2 0.000 0.983 0.058
Ho3 0.500 0.666 0.173
Ho4 0.500 0.166 0.827
Ho5 0.000 0.335 0.324
Ho6 0.000 0.835 0.676
Zn1 0.500 0.731 0.851
Zn2 0.500 0.231 0.149
Zn3 0.000 0.269 0.648
Zn4 0.000 0.769 0.352

---

Entry 11:
The following is a DFT calculation (PBE-GGA) of a relaxed structure of DyYLuAl.

Summary:
DFT formation energy   -0.08 eV per atom
Total energy   -4.915 eV per atom
Symmetry   F-43m
Total magnetic moment   0.00 μB per atom
Crystal system   cubic
DOS(E_F)   1.35 states/eV per atom

Unit cell a=5.317 b=5.317 c=5.317 alpha=60.00 beta=60.00 gamma=60.00
Atoms (fractional coordinates):
Y1 0.500 0.500 0.500
Lu1 0.750 0.750 0.750
Al1 0.250 0.250 0.250
Dy1 0.000 0.000 0.000

---

Entry 12:
The following is a DFT calculation (PBE-GGA) of a relaxed structure of Sm2AlGaNi6.

Summary:
DFT formation energy   -0.38 eV per atom
Total energy   -5.474 eV per atom
Symmetry   P-1
Total magnetic moment   0.00 μB per atom
Crystal system   triclinic
DOS(E_F)   0.52 states/eV per atom

Unit cell a=6.277 b=6.291 c=6.290 alpha=46.42 beta=80.84 gamma=98.70
Atoms (fractional coordinates):
Sm1 0.201 0.749 0.547
Sm2 0.799 0.251 0.453
Al1 0.500 0.500 0.000
Ga1 0.000 0.000 0.000
Ni1 0.263 0.762 0.998
Ni2 0.577 0.749 0.173
Ni3 0.262 0.262 0.499
Ni4 0.737 0.238 0.002
Ni5 0.423 0.251 0.827
Ni6 0.738 0.738 0.501

---

Entry 13:
The following is a DFT calculation (PBE-GGA) of a relaxed structure of BeCdCo2.

Summary:
Offset from the most stable computed form   290.9 meV/atom
DFT formation energy   0.38 eV per atom
Total energy   -4.330 eV per atom
Symmetry   Cmmm
Total magnetic moment   0.60 μB per atom
Crystal system   orthorhombic
DOS(E_F)   1.50 states/eV per atom

Unit cell a=4.495 b=4.495 c=2.707 alpha=90.00 beta=90.00 gamma=111.55
Last column: magnetic moment on the atom in μB.
Atoms (fractional coordinates):
Be1 0.500 0.000 0.500  -0.04
Co1 0.000 0.000 0.000  1.27
Co2 0.500 0.500 0.000  1.27
Cd1 0.000 0.500 0.500  -0.03

---

Entry 14:
The following is a DFT calculation (PBE-GGA) of a relaxed structure of BaSc2Cu.

Summary:
Offset from the most stable computed form   373.0 meV/atom
DFT formation energy   0.47 eV per atom
Total energy   -4.201 eV per atom
Symmetry   F-43m
Total magnetic moment   0.39 μB per atom
Crystal system   cubic
DOS(E_F)   2.23 states/eV per atom

Unit cell a=5.325 b=5.325 c=5.325 alpha=60.00 beta=60.00 gamma=60.00
Last column: magnetic moment on the atom in μB.
Atoms (fractional coordinates):
Ba1 0.500 0.500 0.500  0.07
Cu1 0.750 0.750 0.750  0.04
Sc1 0.000 0.000 0.000  0.42
Sc2 0.250 0.250 0.250  0.45

---

Entry 15:
The following is a DFT calculation (PBE-GGA) of a relaxed structure of PmSn2Hg.

Summary:
Offset from the most stable computed form   625.0 meV/atom
DFT formation energy   0.13 eV per atom
Total energy   -3.133 eV per atom
Symmetry   R-3m
Total magnetic moment   0.00 μB per atom
Crystal system   trigonal
DOS(E_F)   0.93 states/eV per atom

Unit cell a=5.237 b=5.237 c=8.174 alpha=71.32 beta=71.32 gamma=60.00
Atoms (fractional coordinates):
Hg1 0.000 0.000 0.000
Sn1 0.125 0.125 0.624
Sn2 0.875 0.875 0.376
Pm1 0.500 0.500 0.500

---

Entry 16:
The following is a DFT calculation (PBE-GGA) of a relaxed structure of TcTe2.

Summary:
Total energy   -5.537 eV per atom
Formation energy (no corrections)   12 meV per atom
Symmetry   P-3m1
Total magnetic moment   0.40 μB per atom
Crystal system   trigonal
DOS(E_F)   0.64 states/eV per atom

Unit cell a=3.742 b=3.742 c=6.290 alpha=90.00 beta=90.00 gamma=120.00
Last column: magnetic moment on the atom in μB.
Atoms (fractional coordinates):
Tc1 0.000 0.000 0.000  1.16
Te1 0.667 0.333 0.738  -0.03
Te2 0.333 0.667 0.262  -0.03

---

Entry 17:
The following is a DFT calculation (PBE-GGA) of a relaxed structure of Ho4AsHC2.

Summary:
Total energy   -6.320 eV per atom
Symmetry   Cmcm
Total magnetic moment   0.00 μB per atom
Crystal system   orthorhombic
DOS(E_F)   0.14 states/eV per atom

Unit cell a=3.738 b=6.336 c=12.570 alpha=90.00 beta=90.00 gamma=107.15
Atoms (fractional coordinates):
Ho1 0.264 0.528 0.107
Ho2 0.736 0.472 0.607
Ho3 0.736 0.472 0.893
Ho4 0.264 0.528 0.393
Ho5 0.000 0.000 0.500
Ho6 0.000 0.000 0.000
Ho7 0.434 0.867 0.750
Ho8 0.566 0.133 0.250
As1 0.113 0.227 0.750
As2 0.887 0.773 0.250
H1 0.844 0.688 0.750
H2 0.156 0.312 0.250
C1 0.366 0.731 0.560
C2 0.634 0.269 0.060
C3 0.634 0.269 0.440
C4 0.366 0.731 0.940

---

Entry 18:
The following is a DFT calculation (PBE-GGA) of a relaxed structure of Cu5S3.

Summary:
Total energy   -4.085 eV per atom
Formation energy (no corrections)   23 meV per atom
Symmetry   P6_3/mcm
Total magnetic moment   0.00 μB per atom
Crystal system   hexagonal
DOS(E_F)   0.60 states/eV per atom

Unit cell a=6.533 b=6.536 c=6.536 alpha=120.00 beta=90.00 gamma=90.00
Atoms (fractional coordinates):
Cu1 0.000 0.667 0.333
Cu2 0.000 0.333 0.667
Cu3 0.500 0.333 0.667
Cu4 0.500 0.667 0.333
Cu5 0.250 0.000 0.771
Cu6 0.250 0.771 0.000
Cu7 0.250 0.229 0.229
Cu8 0.750 0.000 0.229
Cu9 0.750 0.229 0.000
Cu10 0.750 0.771 0.771
S1 0.250 0.000 0.393
S2 0.250 0.393 0.000
S3 0.250 0.607 0.607
S4 0.750 0.000 0.607
S5 0.750 0.607 0.000
S6 0.750 0.393 0.393

---

Entry 19:
The following is a DFT calculation (PBE-GGA) of a relaxed structure of Na2HIr.

Summary:
Offset from the most stable computed form   0.0 meV/atom
Total energy   -3.394 eV per atom
Symmetry   I-42d
Total magnetic moment   0.00 μB per atom
Crystal system   tetragonal
DOS(E_F)   0.88 states/eV per atom

Unit cell a=9.878 b=9.878 c=7.183 alpha=46.56 beta=46.56 gamma=90.00
Atoms (fractional coordinates):
Na1 0.437 0.125 0.250
Na2 0.313 0.625 0.250
Na3 0.375 0.563 0.750
Na4 0.875 0.687 0.750
Ir1 0.000 0.000 0.000
Ir2 0.750 0.250 0.500
H1 0.500 0.500 0.000
H2 0.250 0.750 0.500

---

Entry 20:
The following is a DFT calculation (PBE-GGA) of a relaxed structure of YTiPd6.

Summary:
DFT formation energy   -0.75 eV per atom
Total energy   -6.437 eV per atom
Symmetry   P4/mmm
Total magnetic moment   0.00 μB per atom
Crystal system   tetragonal
DOS(E_F)   0.64 states/eV per atom

Unit cell a=4.034 b=4.034 c=8.040 alpha=90.00 beta=90.00 gamma=90.00
Atoms (fractional coordinates):
Y1 0.000 0.000 0.000
Ti1 0.000 0.000 0.500
Pd1 0.500 0.500 0.000
Pd2 0.500 0.500 0.500
Pd3 0.500 0.000 0.267
Pd4 0.500 0.000 0.733
Pd5 0.000 0.500 0.267
Pd6 0.000 0.500 0.733

---

Entry 21:
The following is a DFT calculation (PBE-GGA) of a relaxed structure of Zr2FeCCl.

Summary:
Total energy   -7.147 eV per atom
Formation energy (no corrections)   179 meV per atom
Symmetry   P4/mmm
Total magnetic moment   0.00 μB per atom
Crystal system   tetragonal
DOS(E_F)   0.55 states/eV per atom

Unit cell a=4.895 b=3.581 c=4.895 alpha=90.00 beta=90.00 gamma=90.00
Atoms (fractional coordinates):
C1 0.000 0.500 0.000
Fe1 0.000 0.000 0.000
Zr1 0.000 0.000 0.500
Zr2 0.500 0.000 0.000
Cl1 0.500 0.500 0.500

---

Entry 22:
The following is a DFT calculation (PBE-GGA) of a relaxed structure of BaCaSn.

Summary:
DFT formation energy   -0.68 eV per atom
Total energy   -3.322 eV per atom
Symmetry   Pnma
Total magnetic moment   0.00 μB per atom
Crystal system   orthorhombic
DOS(E_F)   0.02 states/eV per atom

Unit cell a=5.313 b=8.901 c=9.757 alpha=90.00 beta=90.00 gamma=90.00
Atoms (fractional coordinates):
Ba1 0.250 0.022 0.181
Ba2 0.750 0.978 0.819
Ba3 0.250 0.522 0.319
Ba4 0.750 0.478 0.681
Ca1 0.750 0.856 0.429
Ca2 0.250 0.644 0.929
Ca3 0.750 0.356 0.071
Ca4 0.250 0.144 0.571
Sn1 0.250 0.275 0.891
Sn2 0.750 0.225 0.391
Sn3 0.250 0.775 0.609
Sn4 0.750 0.725 0.109

---

Entry 23:
The following is a DFT calculation (PBE-GGA) of a relaxed structure of Sc2VP2.

Summary:
DFT formation energy   -1.06 eV per atom
Total energy   -7.576 eV per atom
Symmetry   P4/mbm
Total magnetic moment   0.00 μB per atom
Crystal system   tetragonal
DOS(E_F)   0.83 states/eV per atom

Unit cell a=6.444 b=6.444 c=3.804 alpha=90.00 beta=90.00 gamma=90.00
Atoms (fractional coordinates):
Sc1 0.171 0.671 0.500
Sc2 0.671 0.829 0.500
Sc3 0.829 0.329 0.500
Sc4 0.329 0.171 0.500
P1 0.363 0.863 0.000
P2 0.863 0.637 0.000
P3 0.637 0.137 0.000
P4 0.137 0.363 0.000
V1 0.000 0.000 0.000
V2 0.500 0.500 0.000

---

Entry 24:
The following is a DFT calculation (PBE-GGA) of a relaxed structure of AlPdWI2.

Summary:
Total energy   -3.494 eV per atom
Formation energy (no corrections)   1504 meV per atom
Symmetry   P4/mmm
Total magnetic moment   0.86 μB per atom
Crystal system   tetragonal
DOS(E_F)   1.06 states/eV per atom

Unit cell a=5.464 b=5.120 c=5.464 alpha=90.00 beta=90.00 gamma=90.00
Last column: magnetic moment on the atom in μB.
Atoms (fractional coordinates):
I1 0.000 0.000 0.500  0.05
I2 0.500 0.000 0.000  0.05
Pd1 0.500 0.500 0.500  0.02
W1 0.000 0.500 0.000  2.87
Al1 0.000 0.000 0.000  -0.01

---

Entry 25:
The following is a DFT calculation (PBE-GGA) of a relaxed structure of YSc2Si.

Summary:
Total energy   -6.461 eV per atom
Formation energy (no corrections)   -324 meV per atom
Symmetry   Imm2
Total magnetic moment   0.00 μB per atom
Crystal system   orthorhombic
DOS(E_F)   0.91 states/eV per atom

Unit cell a=5.948 b=5.948 c=5.948 alpha=142.80 beta=133.89 gamma=60.68
Atoms (fractional coordinates):
Sc1 0.999 0.999 0.000
Sc2 0.705 0.205 0.500
Si1 0.511 0.511 0.000
Y1 0.285 0.785 0.500